Density functional theory data (PBE-GGA) for a relaxed KPdF3 crystal.

Summary:
Density (g cm⁻³): 3.75
ΔE to the lowest computed polymorph (eV/f.u.): 0.27
Raw total energy (eV/atom): -4.1868
Calculated volume (Å³/f.u.): 89.7
Fermi-level density of states (states/eV per cell): 3.4
Formation energy from raw total energies (eV/atom): -1.806
Symmetry: Pm, No. 6

Cell: 4.1143 5.9925 7.2725 Å, 89.68 90.00 90.00°
Fractional positions:
K 0.0493 0.6369 0.9258
K 0.0501 0.1347 0.2924
Pd 0.5492 0.6333 0.4310
Pd 0.5501 0.1342 0.7872
F 0.5493 0.6345 0.7037
F 0.5502 0.1329 0.0591
F 0.5490 0.6315 0.1590
F 0.5499 0.1349 0.5145
F 0.0501 0.1311 0.8077
F 0.0491 0.6356 0.4102

***

Density functional theory data (PBE-GGA) for a relaxed KPdF crystal.

Summary:
Density (g cm⁻³): 4.37
ΔE to the lowest computed polymorph (eV/f.u.): 2.07
Raw total energy (eV/atom): -3.4431
Calculated volume (Å³/f.u.): 62.5
Fermi-level density of states (states/eV per cell): 1.6
Formation energy from raw total energies (eV/atom): -0.723
Symmetry: F-43m, No. 216

Cell: 4.4541 4.4541 4.4541 Å, 60.00 60.00 60.00°
Fractional positions:
K 0.2500 0.2500 0.2500
Pd 0.7500 0.7500 0.7500
F 0.0000 0.0000 0.0000

***

Density functional theory data (PBE-GGA) for a relaxed K3Pd2F9 crystal.

Summary:
Density (g cm⁻³): 3.58
Raw total energy (eV/atom): -4.1530
Calculated volume (Å³/f.u.): 232.4
Fermi-level density of states (states/eV per cell): 1.3
Formation energy from raw total energies (eV/atom): -1.973
Symmetry: P-3m1, No. 164

Cell: 5.9699 5.9699 7.5307 Å, 90.00 90.00 120.00°
Fractional positions:
K 0.6667 0.3333 0.6276
K 0.0000 0.0000 0.0000
K 0.3333 0.6667 0.3724
Pd 0.6667 0.3333 0.1589
Pd 0.3333 0.6667 0.8411
F 0.1748 0.8252 0.6885
F 0.1748 0.3496 0.6885
F 0.5000 0.5000 0.0000
F 0.8252 0.6504 0.3115
F 0.3496 0.1748 0.3115
F 0.6504 0.8252 0.6885
F 0.8252 0.1748 0.3115
F 0.0000 0.5000 0.0000
F 0.5000 0.0000 0.0000